Entry from Alexandria: an optimized crystal structure of SrHfIn2F (GGA-PBE).

Calculated values
Its raw total energy is -3.885 eV/atom. Its volume is 31.65 A^3/atom. The density of states at the Fermi level comes out at 5.258 states/eV per cell.

Unit cell a=6.1298 b=6.1298 c=4.2112 alpha=90.00 beta=90.00 gamma=90.00
Space group P4/mmm (No. 123)
Inequivalent atoms, fractional coordinates:
1 Sr 0.0000 0.0000 0.0000 [1 per cell]
2 Hf 0.5000 0.5000 0.5000 [1 per cell]
3 In 0.0000 0.5000 0.0000 [2 per cell]
4 F 0.0000 0.0000 0.5000 [1 per cell]

=====

Entry from Alexandria: an optimized crystal structure of TaVGa (GGA-PBE).

Calculated values
As for the energy of formation from the pure elements: -0.216 eV/atom. Its volume is 15.37 A^3/atom. The density of states at the Fermi level comes out at 9.271 states/eV per cell. The distance to the lowest polymorph of the same formula comes out at 0 meV/atom.

Unit cell a=4.9693 b=5.0923 c=7.2874 alpha=90.00 beta=90.00 gamma=90.00
Space group Imma (No. 74)
Inequivalent atoms, fractional coordinates:
1 Ta 0.0000 0.2500 0.1245 [4 per cell]
2 V 0.2500 0.2500 0.7500 [4 per cell]
3 Ga 0.0000 0.0000 0.5000 [4 per cell]

=====

Entry from Alexandria: an optimized crystal structure of Si2TeAu (GGA-PBE).

Calculated values
Its raw total energy is -4.164 eV/atom. Its volume is 20.25 A^3/atom. The density of states at the Fermi level comes out at 5.303 states/eV per cell.

Unit cell a=3.8133 b=3.8133 c=19.2939 alpha=90.00 beta=90.00 gamma=120.00
Space group R3m (No. 160, hexagonal axes)
Inequivalent atoms, fractional coordinates:
1 Si 0.0000 0.0000 0.0000 [3 per cell]
2 Si 0.0000 0.0000 0.2677 [3 per cell]
3 Te 0.0000 0.0000 0.7571 [3 per cell]
4 Au 0.0000 0.0000 0.5271 [3 per cell]

=====

Entry from Alexandria: an optimized crystal structure of LiNpTlCl6 (GGA-PBE).

Calculated values
Its raw total energy is -4.715 eV/atom. Its volume is 31.70 A^3/atom. The density of states at the Fermi level comes out at 9.627 states/eV per cell.

Unit cell a=6.8136 b=6.8136 c=14.1930 alpha=90.00 beta=90.00 gamma=120.00
Space group P-31c (No. 163)
Inequivalent atoms, fractional coordinates:
1 Li 0.3333 0.6667 0.2500 [2 per cell]
2 Np 0.3333 0.6667 0.7500 [2 per cell]
3 Tl 0.0000 0.0000 0.0000 [2 per cell]
4 Cl 0.9998 0.3685 0.1454 [12 per cell]